A plane-wave DFT calculation with PBE was carried out for a relaxed structure of Tm7Mg2Tl2.

```
data_Tm7Mg2Tl2
_chemical_formula_sum 'Tm7 Mg2 Tl2'
_cell_length_a 6.815
_cell_length_b 6.815
_cell_length_c 7.814
_cell_angle_alpha 90.00
_cell_angle_beta 90.00
_cell_angle_gamma 110.36
_space_group_name_H-M_alt 'P 1'
_space_group_IT_number 1
loop_
_space_group_symop_operation_xyz
'x,y,z'
loop_
_atom_site_label
_atom_site_type_symbol
_atom_site_fract_x
_atom_site_fract_y
_atom_site_fract_z
_atom_site_occupancy
Tm1 Tm 0.000 0.000 0.000 1
Tm2 Tm 0.000 0.500 0.288 1
Tm3 Tm 0.000 0.500 0.712 1
Tm4 Tm 0.500 0.000 0.288 1
Tm5 Tm 0.500 0.000 0.712 1
Tm6 Tm 0.500 0.500 0.268 1
Tm7 Tm 0.500 0.500 0.732 1
Mg1 Mg 0.173 0.173 0.500 1
Mg2 Mg 0.827 0.827 0.500 1
Tl1 Tl 0.297 0.703 0.000 1
Tl2 Tl 0.703 0.297 0.000 1
```

Properties
ΔH_f (0 K): 159 meV/atom

A plane-wave DFT calculation with PBE was carried out for a relaxed structure of Tm2Mg2Tl3.

```
data_Tm2Mg2Tl3
_chemical_formula_sum 'Tm2 Mg2 Tl3'
_cell_length_a 8.068
_cell_length_b 8.068
_cell_length_c 7.597
_cell_angle_alpha 111.78
_cell_angle_beta 111.78
_cell_angle_gamma 24.56
_space_group_name_H-M_alt 'P 1'
_space_group_IT_number 1
loop_
_space_group_symop_operation_xyz
'x,y,z'
loop_
_atom_site_label
_atom_site_type_symbol
_atom_site_fract_x
_atom_site_fract_y
_atom_site_fract_z
_atom_site_occupancy
Tm1 Tm 0.080 0.080 0.384 1
Tm2 Tm 0.920 0.920 0.616 1
Mg1 Mg 0.375 0.375 0.207 1
Mg2 Mg 0.625 0.625 0.793 1
Tl1 Tl 0.274 0.274 0.739 1
Tl2 Tl 0.500 0.500 0.000 1
Tl3 Tl 0.726 0.726 0.261 1
```

Properties
ΔH_f (0 K): -72 meV/atom

The highest ΔH_f (0 K) belongs to which entry? Tm7Mg2Tl2

Please write out number 2 again, unchanged.
A plane-wave DFT calculation with PBE was carried out for a relaxed structure of Tm2Mg2Tl3.

```
data_Tm2Mg2Tl3
_chemical_formula_sum 'Tm2 Mg2 Tl3'
_cell_length_a 8.068
_cell_length_b 8.068
_cell_length_c 7.597
_cell_angle_alpha 111.78
_cell_angle_beta 111.78
_cell_angle_gamma 24.56
_space_group_name_H-M_alt 'P 1'
_space_group_IT_number 1
loop_
_space_group_symop_operation_xyz
'x,y,z'
loop_
_atom_site_label
_atom_site_type_symbol
_atom_site_fract_x
_atom_site_fract_y
_atom_site_fract_z
_atom_site_occupancy
Tm1 Tm 0.080 0.080 0.384 1
Tm2 Tm 0.920 0.920 0.616 1
Mg1 Mg 0.375 0.375 0.207 1
Mg2 Mg 0.625 0.625 0.793 1
Tl1 Tl 0.274 0.274 0.739 1
Tl2 Tl 0.500 0.500 0.000 1
Tl3 Tl 0.726 0.726 0.261 1
```

Properties
ΔH_f (0 K): -72 meV/atom

Which of these has the lowest ΔH_f (0 K)? Tm2Mg2Tl3